[1]
Computed, not measured: crystalline Al2CoAu at its relaxed geometry at the PBE level of DFT.

```
Al2CoAu
1.0
-3.3958 3.3958 2.7258
3.3958 -3.3958 2.7258
3.3958 3.3958 -2.7258
Al Co Au
4 2 2
direct
0.0969 0.1250 0.4719 Al
0.3750 0.9031 0.0281 Al
0.6531 0.6250 0.5281 Al
0.8750 0.3469 0.9719 Al
0.0000 0.0000 0.0000 Co
0.7500 0.2500 0.5000 Co
0.2500 0.7500 0.5000 Au
0.5000 0.5000 0.0000 Au
```

Values from the calculation:
As for the calculated volume: 62.9 Å³/f.u. Its total energy is -17.72 eV/f.u.

[2]
Computed, not measured: crystalline AlCo2Au at its relaxed geometry at the PBE level of DFT.

```
AlCo2Au
1.0
-1.8932 1.8932 3.6940
1.8932 -1.8932 3.6940
1.8932 1.8932 -3.6940
Al Co Au
1 2 1
direct
0.0000 0.0000 0.0000 Al
0.5000 0.5000 0.0000 Co
0.7500 0.2500 0.5000 Co
0.2500 0.7500 0.5000 Au
```

Values from the calculation:
As for the calculated volume: 53.0 Å³/f.u. Its total energy is -21.71 eV/f.u.

[3]
Computed, not measured: crystalline Al3CoAu at its relaxed geometry at the PBE level of DFT.

```
Al3CoAu
1.0
4.4562 0.0000 0.0000
0.0000 4.4562 0.0000
0.0000 0.0000 4.4562
Al Co Au
3 1 1
direct
0.0000 0.0000 0.5000 Al
0.0000 0.5000 0.0000 Al
0.5000 0.0000 0.0000 Al
0.0000 0.0000 0.0000 Co
0.5000 0.5000 0.5000 Au
```

Values from the calculation:
As for the calculated volume: 88.5 Å³/f.u. Its total energy is -22.05 eV/f.u.

[4]
Computed, not measured: crystalline Al2CoAu at its relaxed geometry at the PBE level of DFT.

```
Al2CoAu
1.0
4.4941 -1.5618 0.0000
4.4941 1.5618 0.0000
-1.2837 0.0000 4.0789
Al Co Au
2 1 1
direct
0.0000 0.0000 0.0000 Al
0.2359 0.2359 0.6528 Al
0.7282 0.7282 0.1148 Co
0.4871 0.4871 0.4840 Au
```

Values from the calculation:
As for the calculated volume: 57.3 Å³/f.u. Its total energy is -19.27 eV/f.u.